# 1
{"formula": "NaLa2Bi2", "functional": "PBE", "state": "optimized geometry", "cell": [[8.849, 0.000, 0.000], [0.000, 8.849, 0.000], [0.000, 0.000, 4.372]], "species": ["Bi", "Bi", "Bi", "Bi", "Na", "Na", "La", "La", "La", "La"], "fractional_positions": [[0.344, 0.844, 0.000], [0.156, 0.344, 0.000], [0.656, 0.156, 0.000], [0.844, 0.656, 0.000], [0.500, 0.500, 0.000], [0.000, 0.000, 0.000], [0.352, 0.148, 0.500], [0.648, 0.852, 0.500], [0.852, 0.352, 0.500], [0.148, 0.648, 0.500]], "formation_enthalpy_0k_ev_per_atom": -0.756, "final_energy_ev_per_atom": -4.54, "relative_energy_mev_per_atom": 0, "magnetic_moment_mub_per_fu": 0.8, "spacegroup": "P4/mbm (127)"}

---

# 2
{"formula": "NaLaBi2", "functional": "PBE", "state": "optimized geometry", "cell": [[-0.649, -4.324, -7.523], [8.674, -0.112, -0.684], [4.108, -5.200, -2.398]], "species": ["La", "La", "Bi", "Bi", "Bi", "Bi", "Na", "Na"], "fractional_positions": [[0.000, 0.000, 0.000], [0.750, 0.250, 0.500], [0.145, 0.625, 0.250], [0.375, 0.395, 0.750], [0.875, 0.855, 0.750], [0.605, 0.125, 0.250], [0.250, 0.750, 0.500], [0.500, 0.500, 0.000]], "formation_enthalpy_0k_ev_per_atom": -0.459, "final_energy_ev_per_atom": -3.96, "relative_energy_mev_per_atom": 185, "magnetic_moment_mub_per_fu": 0.0, "spacegroup": "I-42d (122)"}

---

# 3
{"formula": "NaLaBi2", "functional": "PBE", "state": "optimized geometry", "cell": [[0.276, -5.281, 1.955], [2.012, -0.990, 5.173], [-3.482, -1.671, 4.107]], "species": ["Bi", "Bi", "Na", "La"], "fractional_positions": [[0.750, 0.750, 0.750], [0.250, 0.250, 0.250], [0.000, 0.000, 0.000], [0.500, 0.500, 0.500]], "formation_enthalpy_0k_ev_per_atom": -0.522, "final_energy_ev_per_atom": -4.02, "relative_energy_mev_per_atom": 122, "magnetic_moment_mub_per_fu": 0.0, "spacegroup": "Fm-3m (225)"}

---

# 4
{"formula": "Na2LaBi2", "functional": "PBE", "state": "optimized geometry", "cell": [[-1.926, 5.711, -7.071], [-7.405, -5.178, -2.165], [-2.095, 2.062, 2.236]], "species": ["Na", "Na", "Na", "Na", "Bi", "Bi", "Bi", "Bi", "La", "La"], "fractional_positions": [[0.879, 0.379, 0.500], [0.121, 0.621, 0.500], [0.379, 0.121, 0.500], [0.621, 0.879, 0.500], [0.821, 0.679, 0.000], [0.679, 0.179, 0.000], [0.179, 0.321, 0.000], [0.321, 0.821, 0.000], [0.500, 0.500, 0.000], [0.000, 0.000, 0.000]], "formation_enthalpy_0k_ev_per_atom": -0.386, "final_energy_ev_per_atom": -3.45, "relative_energy_mev_per_atom": 79, "magnetic_moment_mub_per_fu": 0.0, "spacegroup": "P4/mbm (127)"}